Below is crystalline Li2Tb3HoS6 at its relaxed geometry, with properties calculated at the PBE-GGA level.

Structure (CIF):
```
data_Li2Tb3HoS6
_chemical_formula_sum 'Li4 Tb6 Ho2 S12'
_space_group_name_H-M_alt 'C 1 2/m 1'
_space_group_IT_number 12
_cell_length_a 6.7231
_cell_length_b 11.6417
_cell_length_c 6.7059
_cell_angle_alpha 90.00
_cell_angle_beta 109.50
_cell_angle_gamma 90.00
loop_
_space_group_symop_operation_xyz
'x,y,z'
'-x,-y,-z'
'-x,y,-z'
'x,-y,z'
'x+1/2,y+1/2,z'
'-x+1/2,-y+1/2,-z'
'-x+1/2,y+1/2,-z'
'x+1/2,-y+1/2,z'
loop_
_atom_site_label
_atom_site_type_symbol
_atom_site_fract_x
_atom_site_fract_y
_atom_site_fract_z
Li1 Li 0.0000 0.1670 0.0000
Tb1 Tb 0.0000 0.0000 0.5000
Tb2 Tb 0.0000 0.3324 0.5000
Ho1 Ho 0.0000 0.5000 0.0000
S1 S 0.2451 0.0000 0.2434
S2 S 0.2488 0.3319 0.2416
```

Computed properties:
- energy relative to the elements, uncorrected (eV per atom) = -1.910